# HfNiB3 PBE-GGA relaxed
data_HfNiB3
_chemical_formula_sum 'Hf1 Ni1 B3'
_symmetry_space_group_name_H-M 'P m -3 m'
_symmetry_Int_Tables_number 221
_symmetry_space_group_name_Hall '-P 4 2 3'
_cell_length_a 3.7724
_cell_length_b 3.7724
_cell_length_c 3.7724
_cell_angle_alpha 90.00
_cell_angle_beta 90.00
_cell_angle_gamma 90.00
loop_
_atom_site_label
_atom_site_type_symbol
_atom_site_fract_x
_atom_site_fract_y
_atom_site_fract_z
Hf1 Hf 0.0000 0.0000 0.0000
Ni1 Ni 0.5000 0.5000 0.5000
B1 B 0.0000 0.5000 0.5000
# Energy above the most stable polymorph in this dataset ... 5.60 eV per formula unit
# Uncorrected energy ... -6.663 eV per atom

# HfNi2B4 PBE-GGA relaxed
data_HfNi2B4
_chemical_formula_sum 'Hf2 Ni4 B8'
_symmetry_space_group_name_H-M 'I m m m'
_symmetry_Int_Tables_number 71
_symmetry_space_group_name_Hall '-I 2 2'
_cell_length_a 3.0657
_cell_length_b 3.2837
_cell_length_c 12.5923
_cell_angle_alpha 90.00
_cell_angle_beta 90.00
_cell_angle_gamma 90.00
loop_
_atom_site_label
_atom_site_type_symbol
_atom_site_fract_x
_atom_site_fract_y
_atom_site_fract_z
Hf1 Hf 0.0000 0.0000 0.0000
Ni1 Ni 0.0000 0.5000 0.3093
B1 B 0.0000 0.0000 0.4249
B2 B 0.0000 0.5000 0.1462
# Energy above the most stable polymorph in this dataset ... 0.00 eV per formula unit
# Uncorrected energy ... -7.375 eV per atom

# Hf2NiB PBE-GGA relaxed
data_Hf2NiB
_chemical_formula_sum 'Hf8 Ni4 B4'
_symmetry_space_group_name_H-M 'I -4 2 d'
_symmetry_Int_Tables_number 122
_symmetry_space_group_name_Hall 'I -4 2bw'
_cell_length_a 6.4493
_cell_length_b 6.4493
_cell_length_c 6.3499
_cell_angle_alpha 90.00
_cell_angle_beta 90.00
_cell_angle_gamma 90.00
loop_
_atom_site_label
_atom_site_type_symbol
_atom_site_fract_x
_atom_site_fract_y
_atom_site_fract_z
Hf1 Hf 0.2213 0.7500 0.1250
Ni1 Ni 0.0000 0.0000 0.5000
B1 B 0.0000 0.0000 0.0000
# Uncorrected energy ... -7.998 eV per atom

# HfNi6B PBE-GGA relaxed
data_HfNi6B
_chemical_formula_sum 'Hf3 Ni18 B3'
_symmetry_space_group_name_H-M 'R -3 m'
_symmetry_Int_Tables_number 166
_symmetry_space_group_name_Hall '-R 3 2"'
_cell_length_a 5.0785
_cell_length_b 5.0785
_cell_length_c 13.2892
_cell_angle_alpha 90.00
_cell_angle_beta 90.00
_cell_angle_gamma 120.00
loop_
_atom_site_label
_atom_site_type_symbol
_atom_site_fract_x
_atom_site_fract_y
_atom_site_fract_z
Hf1 Hf 0.0000 0.0000 0.0000
Ni1 Ni 0.0229 0.5115 0.9128
B1 B 0.0000 0.0000 0.5000
# Uncorrected energy ... -6.551 eV per atom

Question: Which formula does entry 2 have?
Answer: HfNi2B4